## NaTl3Cd2 (GGA-PBE)

Data for an optimized crystal structure of NaTl3Cd2.

Space group: Pmmn
Crystal system: orthorhombic
Magnetization, Bohr magnetons per cell: 0.0
Fermi-level density of states, states/eV/atom: 0.381
Energy above the lowest structure with this stoichiometry, meV per atom: 2
Formation energy, eV/atom: -0.022
Theoretical density, g/cm³: 8.60

abc: 3.6435 5.5439 16.4556
angles: 90.00 90.00 90.00
Closest atoms and distances in Å follow each position.
Element x y z (fractional)
1 Tl 0.5011 0.5000 0.6715  6 Cd 3.26-3.32, 2 Na 3.36, 2 Tl 3.64
2 Na 0.9979 0.0000 0.0000  8 Tl 3.32-3.36, 2 Na 3.64
3 Cd 0.0011 0.0000 0.6636  8 Tl 3.25-3.32
4 Tl 0.4982 0.5000 0.0000  4 Cd 3.25, 4 Na 3.32
5 Na 0.0021 0.5000 0.5000  8 Tl 3.32-3.36, 2 Na 3.64
6 Tl 0.4989 0.0000 0.8285  6 Cd 3.26-3.32, 2 Na 3.36, 2 Tl 3.64
7 Tl 0.5018 0.0000 0.5000  4 Cd 3.25, 4 Na 3.32
8 Cd 0.0011 0.0000 0.3364  8 Tl 3.25-3.32
9 Cd 0.9989 0.5000 0.8364  8 Tl 3.25-3.32
10 Tl 0.4989 0.0000 0.1715  6 Cd 3.26-3.32, 2 Na 3.36, 2 Tl 3.64
11 Cd 0.9989 0.5000 0.1636  8 Tl 3.25-3.32
12 Tl 0.5011 0.5000 0.3285  6 Cd 3.26-3.32, 2 Na 3.36, 2 Tl 3.64

## Na6Tl3Cd (GGA-PBE)

Data for an optimized crystal structure of Na6Tl3Cd.

Space group: P2_1/m
Crystal system: monoclinic
Magnetization, Bohr magnetons per cell: 0.0
Fermi-level density of states, states/eV/atom: 0.475
Energy above the lowest structure with this stoichiometry, meV per atom: 0
Formation energy, eV/atom: -0.094
Theoretical density, g/cm³: 4.98

abc: 5.5477 9.2075 12.4809
angles: 115.50 90.00 90.00
Closest atoms and distances in Å follow each position.
Element x y z (fractional)
1 Na 0.7500 0.3390 0.3410  5 Tl 3.37-3.48, 6 Na 3.40-3.55, 1 Cd 3.54
2 Tl 0.7500 0.2369 0.0379  1 Tl 3.33, 11 Na 3.35-3.65
3 Tl 0.2500 0.3779 0.7675  8 Na 3.30-3.45, 3 Tl 3.33-3.37, 1 Cd 3.52
4 Na 0.2500 0.0762 0.8586  1 Cd 3.40, 4 Tl 3.43-3.63, 7 Na 3.43-3.55
5 Na 0.7500 0.7404 0.5225  3 Cd 3.26-3.39, 4 Tl 3.30-3.62, 4 Na 3.40-3.50
6 Tl 0.7500 0.4443 0.6415  9 Na 3.31-3.62, 2 Tl 3.37, 1 Cd 3.55
7 Na 0.7500 0.5294 0.9336  5 Na 3.36-3.49, 7 Tl 3.38-3.46
8 Cd 0.2500 0.9695 0.5616  8 Na 3.24-3.54, 2 Cd 3.33, 2 Tl 3.52-3.55
9 Na 0.2500 0.4706 0.0664  5 Na 3.36-3.49, 7 Tl 3.38-3.46
10 Tl 0.2500 0.5557 0.3585  9 Na 3.31-3.62, 2 Tl 3.37, 1 Cd 3.55
11 Na 0.2500 0.8529 0.2765  3 Cd 3.24-3.41, 3 Tl 3.31-3.39, 4 Na 3.36-3.50
12 Na 0.7500 0.9238 0.1414  1 Cd 3.40, 4 Tl 3.43-3.63, 7 Na 3.43-3.55
13 Cd 0.7500 0.0305 0.4384  8 Na 3.24-3.54, 2 Cd 3.33, 2 Tl 3.52-3.55
14 Tl 0.2500 0.7631 0.9621  1 Tl 3.33, 11 Na 3.35-3.65
15 Na 0.2500 0.6610 0.6590  5 Tl 3.37-3.48, 6 Na 3.40-3.55, 1 Cd 3.54
16 Na 0.7500 0.8414 0.8458  4 Tl 3.35-3.44, 8 Na 3.43-3.73
17 Na 0.2500 0.1586 0.1542  4 Tl 3.35-3.44, 8 Na 3.43-3.73
18 Na 0.2500 0.2596 0.4775  3 Cd 3.26-3.39, 4 Tl 3.30-3.62, 4 Na 3.40-3.50
19 Na 0.7500 0.1471 0.7235  3 Cd 3.24-3.41, 3 Tl 3.31-3.39, 4 Na 3.36-3.50
20 Tl 0.7500 0.6221 0.2325  8 Na 3.30-3.45, 3 Tl 3.33-3.37, 1 Cd 3.52